{"formula": "Zr2Cr2F3", "functional": "GGA+U", "state": "relaxed", "lattice_angstrom": [[4.7663, 4.0032, -0.0623], [-4.7663, 4.0032, -0.0623], [0.0000, 1.2732, 6.0219]], "species": ["F", "Cr", "F", "Zr", "Zr", "Zr", "Cr", "Cr", "Zr", "F", "F", "Cr", "F", "F"], "fractional_positions": [[0.2541, 0.5207, 0.3039], [0.8236, 0.3624, 0.0638], [0.8450, 0.4161, 0.5162], [0.1334, 0.5816, 0.6535], [0.3082, 0.3082, 0.0433], [0.5816, 0.1334, 0.6535], [0.9710, 0.9710, 0.3868], [0.3624, 0.8236, 0.0638], [0.9379, 0.9379, 0.9007], [0.4161, 0.8450, 0.5162], [0.5207, 0.2541, 0.3039], [0.6434, 0.6434, 0.7022], [0.7481, 0.7481, 0.1928], [0.2103, 0.2103, 0.6996]], "n_ef_per_ev_atom": 0.448, "e_tot_ry_per_atom": -0.498, "spacegroup": "No. 8", "rho_g_cm3": 4.95}